A plane-wave DFT calculation with GGA-PBE was carried out for crystalline Zn2ReRu at its relaxed geometry.

a b c (Å): 2.989 2.989 6.253
angles (deg): 90.00 90.00 90.00
Positions (direct):
Zn 0.000 0.000 0.510
Zn 0.000 0.000 0.990
Re 0.500 0.500 0.250
Ru 0.500 0.500 0.750

Computed properties:
Volume in A^3/atom: 13.97
Total energy in eV per atom: -5.719
Energy of formation from the pure elements in meV/atom: 349
Space-group type: P4/mmm (123)